No. 1
CdBNO: relaxed, PBE.

Cell and atoms, written as extended XYZ:
```
16
Lattice="4.549 0.000 0.000 0.000 5.259 0.000 0.000 0.000 7.114" Properties=species:S:1:pos:R:3 pbc="T T T"
B 1.386 2.357 2.805
B 3.163 4.986 2.805
B 3.660 2.357 4.309
B 0.889 4.986 4.309
Cd 3.503 2.384 1.024
Cd 1.046 5.014 1.024
Cd 1.229 2.384 6.090
Cd 3.320 5.014 6.090
N 1.159 2.361 1.407
N 3.390 4.990 1.407
N 3.433 2.361 5.707
N 1.116 4.990 5.707
O 2.750 2.350 3.250
O 1.799 4.980 3.250
O 0.475 2.350 3.864
O 4.074 4.980 3.864
```

## Properties
Polymorph energy (0 for the lowest one) (meV per atom): 0

---

No. 2
SmGaTc: relaxed, PBE.

Cell and atoms, written as extended XYZ:
```
3
Lattice="0.000 3.333 3.333 3.333 0.000 3.333 3.333 3.333 0.000" Properties=species:S:1:pos:R:3 pbc="T T T"
Ga 1.667 1.667 1.667
Sm 0.000 0.000 0.000
Tc 5.000 5.000 5.000
```

## Properties
Polymorph energy (0 for the lowest one) (meV per atom): 751

---

No. 3
Pu2Re2C3: relaxed, PBE.

Cell and atoms, written as extended XYZ:
```
7
Lattice="5.974 -1.616 0.000 5.974 1.616 0.000 -2.390 0.000 5.124" Properties=species:S:1:pos:R:3 pbc="T T T"
C 2.404 0.000 1.255
C -1.195 0.000 2.562
C 7.155 0.000 3.869
Pu 6.487 0.000 1.552
Pu 3.072 0.000 3.572
Re 9.650 0.000 0.896
Re -0.091 0.000 4.228
```

## Properties
Raw total energy (eV per cell): -82.0

---

No. 4
LiBiPd2: relaxed, PBE.

Cell and atoms, written as extended XYZ:
```
4
Lattice="4.358 0.000 0.000 0.000 4.358 0.000 0.000 0.000 3.735" Properties=species:S:1:pos:R:3 pbc="T T T"
Bi 0.000 0.000 0.000
Li 2.179 2.179 0.000
Pd 2.179 0.000 1.867
Pd 0.000 2.179 1.867
```

## Properties
Raw total energy (eV per cell): -17.9

---

No. 5
ZnMoAu: relaxed, PBE.

Cell and atoms, written as extended XYZ:
```
3
Lattice="0.000 3.073 3.073 3.073 0.000 3.073 3.073 3.073 0.000" Properties=species:S:1:pos:R:3 pbc="T T T"
Au 1.536 1.536 1.536
Mo 0.000 0.000 0.000
Zn 4.609 4.609 4.609
```

## Properties
E_form (eV/atom): 0.77
Polymorph energy (0 for the lowest one) (meV per atom): 151

---

No. 6
KTbYNi2: relaxed, PBE.

Cell and atoms, written as extended XYZ:
```
5
Lattice="3.716 0.000 0.000 0.000 2.013 9.012 0.000 -2.013 9.012" Properties=species:S:1:pos:R:3 pbc="T T T"
K 0.000 0.000 18.014
Ni 0.000 0.000 3.774
Ni 0.000 0.000 14.282
Tb 1.858 0.000 5.953
Y 1.858 0.000 12.049
```

## Properties
Raw total energy (eV per cell): -24.1

---

No. 7
Ta4CoSbN2: relaxed, PBE.

Cell and atoms, written as extended XYZ:
```
8
Lattice="3.184 0.000 0.000 -1.592 2.757 0.000 0.000 0.000 12.970" Properties=species:S:1:pos:R:3 pbc="T T T"
Co 0.000 1.838 0.000
N 0.000 0.000 3.068
N 0.000 0.000 9.902
Sb 1.592 0.919 6.485
Ta 1.592 0.919 1.878
Ta 0.000 1.838 4.253
Ta 0.000 1.838 8.717
Ta 1.592 0.919 11.092
```

## Properties
Raw total energy (eV per cell): -78.2